The following is a DFT calculation (PBE) of crystalline Mg2Ga4Ag3 at its relaxed geometry.

* D(E_F): 0.320 states/eV per atom
* ΔE to the lowest computed polymorph: 0.000 eV/atom
* uncorrected energy: -2.735 eV/atom
* ΔE_f: -85.1 meV/atom
* calculated volume: 163 Å³/cell

```
data_Mg2Ga4Ag3
_chemical_formula_sum 'Mg2 Ga4 Ag3'
_symmetry_space_group_name_H-M 'P 1'
_symmetry_Int_Tables_number 1
_cell_length_a 4.148
_cell_length_b 5.188
_cell_length_c 8.696
_cell_angle_alpha 73.68
_cell_angle_beta 76.20
_cell_angle_gamma 66.44
loop_
_symmetry_equiv_pos_as_xyz
'x,y,z'
loop_
_atom_site_label
_atom_site_type_symbol
_atom_site_fract_x
_atom_site_fract_y
_atom_site_fract_z
Ag1 Ag 0.664 0.228 0.443
Ga1 Ga 0.342 0.433 0.883
Ga2 Ga 0.992 0.681 0.334
Mg1 Mg 0.328 0.120 0.224
Ga3 Ga 0.008 0.319 0.666
Ga4 Ga 0.658 0.567 0.117
Mg2 Mg 0.672 0.880 0.776
Ag2 Ag 0.336 0.772 0.557
Ag3 Ag 0.000 0.000 0.000
```

***

The following is a DFT calculation (PBE) of crystalline Mg2Ga4Ag5 at its relaxed geometry.

* D(E_F): 0.237 states/eV per atom
* ΔE to the lowest computed polymorph: 0.000 eV/atom
* uncorrected energy: -2.761 eV/atom
* ΔE_f: -74.5 meV/atom
* calculated volume: 203 Å³/cell

```
data_Mg2Ga4Ag5
_chemical_formula_sum 'Mg2 Ga4 Ag5'
_symmetry_space_group_name_H-M 'P 1'
_symmetry_Int_Tables_number 1
_cell_length_a 6.332
_cell_length_b 5.206
_cell_length_c 7.024
_cell_angle_alpha 69.61
_cell_angle_beta 87.01
_cell_angle_gamma 69.69
loop_
_symmetry_equiv_pos_as_xyz
'x,y,z'
loop_
_atom_site_label
_atom_site_type_symbol
_atom_site_fract_x
_atom_site_fract_y
_atom_site_fract_z
Ga1 Ga 0.279 0.455 0.762
Ag1 Ag 0.408 0.817 0.895
Ag2 Ag 0.083 0.172 0.087
Ag3 Ag 0.917 0.828 0.913
Ag4 Ag 0.000 0.000 0.500
Mg1 Mg 0.811 0.465 0.711
Ag5 Ag 0.592 0.183 0.105
Mg2 Mg 0.189 0.535 0.289
Ga2 Ga 0.575 0.155 0.571
Ga3 Ga 0.425 0.845 0.429
Ga4 Ga 0.721 0.545 0.238
```

***

The following is a DFT calculation (PBE) of crystalline Mg2GaAg at its relaxed geometry.

* D(E_F): 0.379 states/eV per atom
* uncorrected energy: -2.232 eV/atom
* ΔE_f: 34.5 meV/atom
* calculated volume: 83 Å³/cell

```
data_Mg2GaAg
_chemical_formula_sum 'Mg2 Ga1 Ag1'
_symmetry_space_group_name_H-M 'P 1'
_symmetry_Int_Tables_number 1
_cell_length_a 3.085
_cell_length_b 3.085
_cell_length_c 10.285
_cell_angle_alpha 81.37
_cell_angle_beta 81.37
_cell_angle_gamma 60.00
loop_
_symmetry_equiv_pos_as_xyz
'x,y,z'
loop_
_atom_site_label
_atom_site_type_symbol
_atom_site_fract_x
_atom_site_fract_y
_atom_site_fract_z
Mg1 Mg 0.908 0.908 0.275
Ga1 Ga 0.000 0.000 0.000
Mg2 Mg 0.092 0.092 0.725
Ag1 Ag 0.500 0.500 0.500
```

***

The following is a DFT calculation (PBE) of crystalline Mg4GaAg at its relaxed geometry.

* D(E_F): 0.282 states/eV per atom
* ΔE to the lowest computed polymorph: 0.000 eV/atom
* uncorrected energy: -2.168 eV/atom
* ΔE_f: -124.8 meV/atom
* calculated volume: 121 Å³/cell

```
data_Mg4GaAg
_chemical_formula_sum 'Mg4 Ga1 Ag1'
_symmetry_space_group_name_H-M 'P 1'
_symmetry_Int_Tables_number 1
_cell_length_a 3.528
_cell_length_b 5.813
_cell_length_c 7.414
_cell_angle_alpha 113.59
_cell_angle_beta 76.24
_cell_angle_gamma 72.34
loop_
_symmetry_equiv_pos_as_xyz
'x,y,z'
loop_
_atom_site_label
_atom_site_type_symbol
_atom_site_fract_x
_atom_site_fract_y
_atom_site_fract_z
Mg1 Mg 0.173 0.480 0.174
Mg2 Mg 0.827 0.520 0.826
Ga1 Ga 0.500 0.500 0.500
Mg3 Mg 0.326 0.020 0.328
Mg4 Mg 0.674 0.980 0.672
Ag1 Ag 0.000 0.000 0.000
```

***

The following is a DFT calculation (PBE) of crystalline Mg4Ga2Ag at its relaxed geometry.

* D(E_F): 0.353 states/eV per atom
* ΔE to the lowest computed polymorph: 0.035 eV/atom
* uncorrected energy: -2.269 eV/atom
* ΔE_f: -85.5 meV/atom
* calculated volume: 287 Å³/cell

```
data_Mg4Ga2Ag
_chemical_formula_sum 'Mg8 Ga4 Ag2'
_symmetry_space_group_name_H-M 'P 1'
_symmetry_Int_Tables_number 1
_cell_length_a 7.548
_cell_length_b 5.994
_cell_length_c 6.958
_cell_angle_alpha 90.00
_cell_angle_beta 114.08
_cell_angle_gamma 90.00
loop_
_symmetry_equiv_pos_as_xyz
'x,y,z'
loop_
_atom_site_label
_atom_site_type_symbol
_atom_site_fract_x
_atom_site_fract_y
_atom_site_fract_z
Mg1 Mg 0.969 0.250 0.597
Mg2 Mg 0.602 0.000 0.235
Mg3 Mg 0.398 0.000 0.765
Mg4 Mg 0.851 0.250 0.011
Ga1 Ga 0.207 0.250 0.372
Ga2 Ga 0.793 0.750 0.628
Mg5 Mg 0.031 0.750 0.403
Ag1 Ag 0.600 0.250 0.576
Ag2 Ag 0.400 0.750 0.424
Ga3 Ga 0.753 0.750 0.983
Mg6 Mg 0.602 0.500 0.235
Mg7 Mg 0.398 0.500 0.765
Ga4 Ga 0.247 0.250 0.017
Mg8 Mg 0.149 0.750 0.989
```

***

The following is a DFT calculation (PBE) of crystalline Na2MgGa5Ag2 at its relaxed geometry.

* D(E_F): 0.275 states/eV per atom
* uncorrected energy: -2.589 eV/atom
* ΔE_f: -82.0 meV/atom
* calculated volume: 401 Å³/cell

```
data_Na2MgGa5Ag2
_chemical_formula_sum 'Na4 Mg2 Ga10 Ag4'
_symmetry_space_group_name_H-M 'P 1'
_symmetry_Int_Tables_number 1
_cell_length_a 4.301
_cell_length_b 9.658
_cell_length_c 9.658
_cell_angle_alpha 90.00
_cell_angle_beta 90.00
_cell_angle_gamma 90.00
loop_
_symmetry_equiv_pos_as_xyz
'x,y,z'
loop_
_atom_site_label
_atom_site_type_symbol
_atom_site_fract_x
_atom_site_fract_y
_atom_site_fract_z
Ga1 Ga 0.500 0.942 0.200
Ga2 Ga 0.500 0.000 0.500
Na1 Na 0.000 0.180 0.320
Ga3 Ga 0.500 0.500 0.000
Ga4 Ga 0.500 0.300 0.558
Ag1 Ag 0.000 0.384 0.116
Ga5 Ga 0.500 0.200 0.058
Na2 Na 0.000 0.320 0.820
Ga6 Ga 0.500 0.700 0.442
Ga7 Ga 0.500 0.442 0.300
Ag2 Ag 0.000 0.884 0.384
Ag3 Ag 0.000 0.616 0.884
Ga8 Ga 0.500 0.800 0.942
Ag4 Ag 0.000 0.116 0.616
Na3 Na 0.000 0.820 0.680
Na4 Na 0.000 0.680 0.180
Mg1 Mg 0.000 0.500 0.500
Ga9 Ga 0.500 0.558 0.700
Ga10 Ga 0.500 0.058 0.800
Mg2 Mg 0.000 0.000 0.000
```

***

The following is a DFT calculation (PBE) of crystalline NdMgGaAg at its relaxed geometry.

* D(E_F): 0.328 states/eV per atom
* uncorrected energy: -3.466 eV/atom
* ΔE_f: -406.0 meV/atom
* calculated volume: 89 Å³/cell

```
data_NdMgGaAg
_chemical_formula_sum 'Nd1 Mg1 Ga1 Ag1'
_symmetry_space_group_name_H-M 'P 1'
_symmetry_Int_Tables_number 1
_cell_length_a 5.008
_cell_length_b 5.008
_cell_length_c 5.008
_cell_angle_alpha 60.00
_cell_angle_beta 60.00
_cell_angle_gamma 60.00
loop_
_symmetry_equiv_pos_as_xyz
'x,y,z'
loop_
_atom_site_label
_atom_site_type_symbol
_atom_site_fract_x
_atom_site_fract_y
_atom_site_fract_z
Nd1 Nd 0.000 0.000 0.000
Ga1 Ga 0.750 0.750 0.750
Ag1 Ag 0.250 0.250 0.250
Mg1 Mg 0.500 0.500 0.500
```

***

The following is a DFT calculation (PBE) of crystalline MgGaNiAg at its relaxed geometry.

* D(E_F): 0.554 states/eV per atom
* uncorrected energy: -3.482 eV/atom
* ΔE_f: -168.7 meV/atom
* calculated volume: 61 Å³/cell

```
data_MgGaNiAg
_chemical_formula_sum 'Mg1 Ga1 Ni1 Ag1'
_symmetry_space_group_name_H-M 'P 1'
_symmetry_Int_Tables_number 1
_cell_length_a 4.420
_cell_length_b 4.420
_cell_length_c 4.420
_cell_angle_alpha 60.00
_cell_angle_beta 60.00
_cell_angle_gamma 60.00
loop_
_symmetry_equiv_pos_as_xyz
'x,y,z'
loop_
_atom_site_label
_atom_site_type_symbol
_atom_site_fract_x
_atom_site_fract_y
_atom_site_fract_z
Ag1 Ag 0.500 0.500 0.500
Ga1 Ga 0.750 0.750 0.750
Mg1 Mg 0.250 0.250 0.250
Ni1 Ni 0.000 0.000 0.000
```

***

The following is a DFT calculation (PBE) of crystalline Mg2GaNiAg at its relaxed geometry.

* D(E_F): 0.748 states/eV per atom
* uncorrected energy: -2.323 eV/atom
* ΔE_f: 646.9 meV/atom
* calculated volume: 118 Å³/cell

```
data_Mg2GaNiAg
_chemical_formula_sum 'Mg2 Ga1 Ni1 Ag1'
_symmetry_space_group_name_H-M 'P 1'
_symmetry_Int_Tables_number 1
_cell_length_a 4.990
_cell_length_b 4.739
_cell_length_c 4.990
_cell_angle_alpha 90.00
_cell_angle_beta 90.00
_cell_angle_gamma 90.00
loop_
_symmetry_equiv_pos_as_xyz
'x,y,z'
loop_
_atom_site_label
_atom_site_type_symbol
_atom_site_fract_x
_atom_site_fract_y
_atom_site_fract_z
Ag1 Ag 0.000 0.000 0.000
Mg1 Mg 0.500 0.000 0.000
Mg2 Mg 0.000 0.000 0.500
Ga1 Ga 0.000 0.500 0.000
Ni1 Ni 0.500 0.500 0.500
```

***

The following is a DFT calculation (PBE) of crystalline MgGaAgOs2 at its relaxed geometry.

* D(E_F): 0.833 states/eV per atom
* uncorrected energy: -4.648 eV/atom
* ΔE_f: 1338.1 meV/atom
* calculated volume: 99 Å³/cell

```
data_MgGaAgOs2
_chemical_formula_sum 'Mg1 Ga1 Ag1 Os2'
_symmetry_space_group_name_H-M 'P 1'
_symmetry_Int_Tables_number 1
_cell_length_a 4.576
_cell_length_b 4.709
_cell_length_c 4.576
_cell_angle_alpha 90.00
_cell_angle_beta 90.00
_cell_angle_gamma 90.00
loop_
_symmetry_equiv_pos_as_xyz
'x,y,z'
loop_
_atom_site_label
_atom_site_type_symbol
_atom_site_fract_x
_atom_site_fract_y
_atom_site_fract_z
Os1 Os 0.500 0.000 0.000
Mg1 Mg 0.000 0.500 0.000
Ga1 Ga 0.000 0.000 0.000
Os2 Os 0.000 0.000 0.500
Ag1 Ag 0.500 0.500 0.500
```

***

The following is a DFT calculation (PBE) of crystalline MgGa2AgOs at its relaxed geometry.

* D(E_F): 0.543 states/eV per atom
* uncorrected energy: -4.042 eV/atom
* ΔE_f: 303.6 meV/atom
* calculated volume: 114 Å³/cell

```
data_MgGa2AgOs
_chemical_formula_sum 'Mg1 Ga2 Ag1 Os1'
_symmetry_space_group_name_H-M 'P 1'
_symmetry_Int_Tables_number 1
_cell_length_a 4.780
_cell_length_b 4.996
_cell_length_c 4.780
_cell_angle_alpha 90.00
_cell_angle_beta 90.00
_cell_angle_gamma 90.00
loop_
_symmetry_equiv_pos_as_xyz
'x,y,z'
loop_
_atom_site_label
_atom_site_type_symbol
_atom_site_fract_x
_atom_site_fract_y
_atom_site_fract_z
Ga1 Ga 0.500 0.000 0.000
Ag1 Ag 0.500 0.500 0.500
Mg1 Mg 0.000 0.500 0.000
Os1 Os 0.000 0.000 0.000
Ga2 Ga 0.000 0.000 0.500
```

***

The following is a DFT calculation (PBE) of crystalline MgGaAg2Pb at its relaxed geometry.

* D(E_F): 0.446 states/eV per atom
* uncorrected energy: -2.223 eV/atom
* ΔE_f: 583.0 meV/atom
* calculated volume: 157 Å³/cell

```
data_MgGaAg2Pb
_chemical_formula_sum 'Mg1 Ga1 Ag2 Pb1'
_symmetry_space_group_name_H-M 'P 1'
_symmetry_Int_Tables_number 1
_cell_length_a 5.383
_cell_length_b 5.429
_cell_length_c 5.383
_cell_angle_alpha 90.00
_cell_angle_beta 90.00
_cell_angle_gamma 90.00
loop_
_symmetry_equiv_pos_as_xyz
'x,y,z'
loop_
_atom_site_label
_atom_site_type_symbol
_atom_site_fract_x
_atom_site_fract_y
_atom_site_fract_z
Ag1 Ag 0.500 0.000 0.000
Mg1 Mg 0.500 0.500 0.500
Ga1 Ga 0.000 0.500 0.000
Ag2 Ag 0.000 0.000 0.500
Pb1 Pb 0.000 0.000 0.000
```